1.
An optimized crystal structure of TbPr2Th. Source: the Alexandria database, functional PBE.

abc: 5.1408 5.1408 5.1459
angles: 90.00 90.00 90.00
Positions (direct):
Tb: 0.0000 0.0000 0.0000
Pr: 0.0000 0.5000 0.5000
Pr: 0.5000 0.0000 0.5000
Th: 0.5000 0.5000 0.0000

Output
The value obtained for the energy relative to the lowest polymorph listed for this composition is 2.2 kJ/mol of atoms. The calculation puts the energy at -5.343 eV per atom. Its space group is P4/mmm. As for the crystal system: tetragonal. The value obtained for the calculated formation energy is 0.0593 eV/atom. The density of states at the Fermi level comes out at 4.8 states/eV/f.u.

2.
An optimized crystal structure of Lu2GaAg. Source: the Alexandria database, functional PBE.

abc: 5.0014 5.0014 5.0014
angles: 60.00 60.00 60.00
Positions (direct):
Lu: 0.2500 0.2500 0.2500
Lu: 0.7500 0.7500 0.7500
Ga: 0.0000 0.0000 0.0000
Ag: 0.5000 0.5000 0.5000

Output
The value obtained for the energy relative to the lowest polymorph listed for this composition is 0.0 kJ/mol of atoms. The calculation puts the energy at -4.198 eV per atom. Its space group is Fm-3m. As for the crystal system: cubic. The value obtained for the calculated formation energy is -0.4679 eV/atom. The density of states at the Fermi level comes out at 2.1 states/eV/f.u.